A relaxed structure of Pu3TeAs2Rh9, computed with PBE.

* symmetry: P-3m1
* energy relative to the elements, uncorrected: -3.53 kcal/mol of atoms
* uncorrected energy: -8.260 eV per atom
* size of the total moment: 15.056 Bohr magnetons per cell

a = 7.1055 Å, b = 7.1055 Å, c = 6.9955 Å
α = 90.00°, β = 90.00°, γ = 120.00°
Atoms (fractional coordinates):
1 Rh 0.8030 0.6060 0.6102
2 Rh 0.5000 0.0000 0.0000
3 Rh 0.0000 0.5000 0.0000
4 Rh 0.1970 0.8030 0.3898
5 Rh 0.3940 0.1970 0.6102
6 Rh 0.6060 0.8030 0.3898
7 Rh 0.8030 0.1970 0.6102
8 Rh 0.1970 0.3940 0.3898
9 Rh 0.5000 0.5000 0.0000
10 Pu 0.0000 0.0000 0.0000
11 Pu 0.6667 0.3333 0.2951
12 Pu 0.3333 0.6667 0.7049
13 Te 0.0000 0.0000 0.5000
14 As 0.6667 0.3333 0.8459
15 As 0.3333 0.6667 0.1541

A relaxed structure of Tb2CeSc6, computed with PBE.

* symmetry: P-31m
* uncorrected energy: -5.729 eV per atom
* size of the total moment: 1.226 Bohr magnetons per cell

a = 3.1579 Å, b = 9.3806 Å, c = 9.3806 Å
α = 120.00°, β = 90.00°, γ = 90.00°
Atoms (fractional coordinates):
1 Tb 0.5000 0.6667 0.3333
2 Tb 0.5000 0.3333 0.6667
3 Sc 0.1909 0.3371 0.0000
4 Sc 0.1909 0.6629 0.6629
5 Sc 0.8091 0.0000 0.6629
6 Sc 0.1909 0.0000 0.3371
7 Sc 0.8091 0.3371 0.3371
8 Sc 0.8091 0.6629 0.0000
9 Ce 0.0000 0.0000 0.0000

A relaxed structure of Ac2Sb3Ir4Au, computed with PBE.

* symmetry: P-4m2
* energy relative to the elements, uncorrected: -12.68 kcal/mol of atoms
* uncorrected energy: -6.480 eV per atom
* size of the total moment: 0.000 Bohr magnetons per cell

a = 4.5061 Å, b = 4.5061 Å, c = 11.0991 Å
α = 90.00°, β = 90.00°, γ = 90.00°
Atoms (fractional coordinates):
1 Ir 0.0000 0.0000 0.0000
2 Ir 0.0000 0.5000 0.3622
3 Ir 0.5000 0.5000 0.0000
4 Ir 0.5000 0.0000 0.6378
5 Au 0.5000 0.5000 0.5000
6 Sb 0.0000 0.0000 0.5000
7 Sb 0.5000 0.0000 0.8690
8 Sb 0.0000 0.5000 0.1310
9 Ac 0.5000 0.0000 0.2600
10 Ac 0.0000 0.5000 0.7400

A relaxed structure of MgSc2Br, computed with PBE.

* symmetry: P4/mmm
* energy relative to the elements, uncorrected: -0.10 kcal/mol of atoms
* uncorrected energy: -3.987 eV per atom
* size of the total moment: 0.870 Bohr magnetons per cell

a = 5.2161 Å, b = 4.3244 Å, c = 4.3244 Å
α = 90.00°, β = 90.00°, γ = 90.00°
Atoms (fractional coordinates):
1 Sc 0.0000 0.0000 0.0000
2 Sc 0.0000 0.5000 0.5000
3 Mg 0.5000 0.0000 0.5000
4 Br 0.5000 0.5000 0.0000

A relaxed structure of SrTeSe3, computed with PBE.

* symmetry: Pm-3m
* energy relative to the elements, uncorrected: -12.82 kcal/mol of atoms
* uncorrected energy: -3.611 eV per atom
* size of the total moment: 0.000 Bohr magnetons per cell

a = 5.3740 Å, b = 5.3740 Å, c = 5.3740 Å
α = 90.00°, β = 90.00°, γ = 90.00°
Atoms (fractional coordinates):
1 Sr 0.5000 0.5000 0.5000
2 Se 0.5000 0.0000 0.0000
3 Se 0.0000 0.5000 0.0000
4 Se 0.0000 0.0000 0.5000
5 Te 0.0000 0.0000 0.0000

A relaxed structure of Ca2TaSb, computed with PBE.

* symmetry: Pmmm
* energy relative to the elements, uncorrected: 4.43 kcal/mol of atoms
* uncorrected energy: -4.802 eV per atom
* size of the total moment: 1.184 Bohr magnetons per cell

a = 3.2991 Å, b = 4.5747 Å, c = 6.8004 Å
α = 90.00°, β = 90.00°, γ = 90.00°
Atoms (fractional coordinates):
1 Sb 0.5000 0.5000 0.2500
2 Ca 0.0000 0.0000 0.9996
3 Ca 0.0000 0.0000 0.5004
4 Ta 0.5000 0.5000 0.7500

A relaxed structure of LaSbIr2, computed with PBE.

* symmetry: P4/mmm
* energy relative to the elements, uncorrected: -3.90 kcal/mol of atoms
* uncorrected energy: -6.862 eV per atom
* size of the total moment: 0.000 Bohr magnetons per cell

a = 3.6192 Å, b = 3.6192 Å, c = 6.4026 Å
α = 90.00°, β = 90.00°, γ = 90.00°
Atoms (fractional coordinates):
1 Ir 0.0000 0.0000 0.5308
2 Ir 0.0000 0.0000 0.9692
3 La 0.5000 0.5000 0.2500
4 Sb 0.5000 0.5000 0.7500

A relaxed structure of Sr2LiSm3Se6, computed with PBE.

* symmetry: C2/m
* energy relative to the elements, uncorrected: -42.33 kcal/mol of atoms
* uncorrected energy: -5.198 eV per atom
* size of the total moment: 0.000 Bohr magnetons per cell

a = 7.2819 Å, b = 7.2819 Å, c = 7.4807 Å
α = 99.36°, β = 99.36°, γ = 120.02°
Atoms (fractional coordinates):
1 Se 0.2371 0.2371 0.7410
2 Se 0.7629 0.7629 0.2590
3 Se 0.4088 0.0854 0.2571
4 Se 0.0854 0.4088 0.2571
5 Se 0.9146 0.5912 0.7429
6 Se 0.5912 0.9146 0.7429
7 Sm 0.1685 0.8315 0.5000
8 Sm 0.8315 0.1685 0.5000
9 Sm 0.5000 0.5000 0.5000
10 Sr 0.3340 0.6660 0.0000
11 Sr 0.6660 0.3340 0.0000
12 Li 0.0000 0.0000 0.0000